(1)
DFT (meta-GGA SCAN) results for AgPd2OF at its PBEsol-relaxed geometry.

Size of the total moment in μB per formula unit: 0.66
E_form (uncorrected) in eV/atom: -0.249

abc: 3.8579 3.8579 4.8606
angles: 90.00 90.00 90.00
Space group P4/mmm (No. 123)
Asymmetric unit:
1 Ag 0.0000 0.0000 0.0000 (multiplicity 1)
2 Pd 0.0000 0.5000 0.5000 (multiplicity 2)
3 O 0.5000 0.5000 0.5000 (multiplicity 1)
4 F 0.5000 0.5000 0.0000 (multiplicity 1)

***

(2)
DFT (meta-GGA SCAN) results for MgNbRh2 at its PBEsol-relaxed geometry.

Size of the total moment in μB per formula unit: 0.00
Energy relative to the elements in meV per atom: -600

abc: 6.2367 6.2367 6.2367
angles: 90.00 90.00 90.00
Space group Fm-3m (No. 225)
Asymmetric unit:
1 Mg 0.0000 0.0000 0.0000 (multiplicity 4)
2 Nb 0.0000 0.0000 0.5000 (multiplicity 4)
3 Rh 0.2500 0.2500 0.2500 (multiplicity 8)

***

(3)
DFT (meta-GGA SCAN) results for NaHN2 at its PBEsol-relaxed geometry.

Size of the total moment in μB per formula unit: 0.00
Energy relative to the lowest polymorph listed for this composition in kJ/mol of atoms: 50.8

abc: 3.0320 3.0320 15.3643
angles: 90.00 90.00 120.00
Space group R-3m (No. 166, hexagonal axes)
Asymmetric unit:
1 Na 0.0000 0.0000 0.0000 (multiplicity 3)
2 H 0.0000 0.0000 0.5000 (multiplicity 3)
3 N 0.0000 0.0000 0.1483 (multiplicity 6)